# ZrTe3C

ZrTe3C after structural relaxation (PBE, Alexandria).

- formation energy without anion corrections (eV per atom) = 1.25
- N(E_F) (states/eV/f.u.) = 4.679
- calculated total energy (eV per atom) = -4.1856

Cell lengths 5.5841, 5.5841, 5.5841 Å; angles 90.00, 90.00, 90.00 degrees
Fractional coordinates of all 5 atoms:
C: 0.5000 0.5000 0.5000
Te: 0.0000 0.5000 0.0000
Te: 0.0000 0.0000 0.5000
Te: 0.5000 0.0000 0.0000
Zr: 0.0000 0.0000 0.0000